The following is a GGA-PBE calculation of DyTm3Al2 after structural relaxation, from Alexandria.

Unit cell a=5.040 b=6.494 c=9.362 alpha=90.00 beta=90.00 gamma=90.00
Fractional positions:
Al 0.500 0.207 0.145
Tm 0.000 0.970 0.042
Al 0.000 0.292 0.646
Dy 0.500 0.030 0.460
Dy 0.500 0.530 0.540
Tm 0.500 0.184 0.823
Tm 0.000 0.470 0.958
Tm 0.000 0.317 0.319
Tm 0.500 0.684 0.177
Tm 0.000 0.817 0.681
Al 0.000 0.792 0.354
Al 0.500 0.707 0.855

Summary:
Calculated total energy (eV per atom): -4.5461
Distance to the lowest polymorph of the same formula (meV per atom): 0.0
Total magnetic moment (μB/f.u.): 0.00
Space-group type: Pmc2_1 (26)